Record 1
Material: PmLuBeRh
Method: DFT, GGA-PBE
State: relaxed

Computed properties:
Its energy of formation from the pure elements is -0.337 eV per atom. For the density, the calculation gives 8.8 Mg/m³. The symmetry is F-43m.

The structure in POSCAR format:
```
PmLuBeRh
1.0
0.000 3.441 3.441
3.441 0.000 3.441
3.441 3.441 0.000
Pm Lu Be Rh
1 1 1 1
Direct
0.000 0.000 0.000
0.500 0.500 0.500
0.250 0.250 0.250
0.750 0.750 0.750
```

Record 2
Material: PrLuBe
Method: DFT, GGA-PBE
State: relaxed

Computed properties:
Its energy of formation from the pure elements is 0.122 eV per atom. For the density, the calculation gives 7.3 Mg/m³. The symmetry is I4mm.

The structure in POSCAR format:
```
PrLuBe
1.0
-1.751 1.751 6.066
1.751 -1.751 6.066
1.751 1.751 -6.066
Pr Lu Be
1 1 1
Direct
0.000 0.000 0.000
0.272 0.272 0.000
0.655 0.655 0.000
```

Record 3
Material: PrLu2Be
Method: DFT, GGA-PBE
State: relaxed

Computed properties:
Its energy of formation from the pure elements is 0.050 eV per atom. For the density, the calculation gives 8.2 Mg/m³. The symmetry is P4/mmm.

The structure in POSCAR format:
```
PrLu2Be
1.0
3.402 0.000 0.000
0.000 3.402 0.000
0.000 0.000 8.795
Pr Lu Be
1 2 1
Direct
0.000 0.000 0.000
0.500 0.500 0.315
0.500 0.500 0.685
0.000 0.000 0.500
```

Record 4
Material: PrLuBeZn
Method: DFT, GGA-PBE
State: relaxed

Computed properties:
Its energy of formation from the pure elements is -0.059 eV per atom. For the density, the calculation gives 7.3 Mg/m³. The symmetry is F-43m.

The structure in POSCAR format:
```
PrLuBeZn
1.0
0.000 3.536 3.536
3.536 0.000 3.536
3.536 3.536 0.000
Pr Lu Be Zn
1 1 1 1
Direct
0.000 0.000 0.000
0.500 0.500 0.500
0.750 0.750 0.750
0.250 0.250 0.250
```

Record 5
Material: Lu2BePt
Method: DFT, GGA-PBE
State: relaxed

Computed properties:
Its energy of formation from the pure elements is -0.661 eV per atom. For the density, the calculation gives 11.9 Mg/m³. Its energy above the lowest structure with this stoichiometry is 0.000 eV/atom. The symmetry is P4/mmm.

The structure in POSCAR format:
```
Lu2BePt
1.0
3.413 0.000 0.000
0.000 3.413 0.000
0.000 0.000 6.615
Lu Be Pt
2 1 1
Direct
0.000 0.000 0.246
0.000 0.000 0.754
0.500 0.500 0.000
0.500 0.500 0.500
```

Record 6
Material: Lu2BePt
Method: DFT, GGA-PBE
State: relaxed

Computed properties:
Its energy of formation from the pure elements is -0.634 eV per atom. For the density, the calculation gives 11.8 Mg/m³. Its energy above the lowest structure with this stoichiometry is 0.027 eV/atom. The symmetry is Fm-3m.

The structure in POSCAR format:
```
Lu2BePt
1.0
0.000 3.393 3.393
3.393 0.000 3.393
3.393 3.393 0.000
Lu Be Pt
2 1 1
Direct
0.250 0.250 0.250
0.750 0.750 0.750
0.000 0.000 0.000
0.500 0.500 0.500
```